Entry from Alexandria: an optimized crystal structure of Ac3BiIr (GGA-PBE).

Computed properties:
The calculation puts the relative energy among the computed polymorphs at 0.00 eV/f.u. Its formation enthalpy at 0 K is -70.8 kJ per mole of atoms.

Lattice parameters (Å, degrees): 9.5693 4.6343 16.3904 90.00 90.00 90.00
With the nearest neighbours (Å) after each atom.
Space group Pnma (No. 62)
Inequivalent atoms, fractional coordinates:
Ac1 0.0194 0.2500 0.1024 [4 per cell]  3 Ir 2.99-3.05
Ac2 0.1580 0.2500 0.5072 [4 per cell]  2 Ir 3.02
Ac3 0.1979 0.7500 0.2880 [4 per cell]  1 Ir 2.84
Bi1 0.0834 0.7500 0.6778 [4 per cell]  9 Ac 3.60-4.00
Ir1 0.1720 0.2500 0.9433 [4 per cell]  6 Ac 2.84-3.05


Entry from Alexandria: an optimized crystal structure of Tb2NdEr2 (GGA-PBE).

Computed properties:
The calculation puts the relative energy among the computed polymorphs at 0.00 eV/f.u. Its formation enthalpy at 0 K is 7.9 kJ per mole of atoms.

Lattice parameters (Å, degrees): 9.3543 9.3543 3.7274 90.00 90.00 90.00
With the nearest neighbours (Å) after each atom.
Space group P4/mbm (No. 127)
Inequivalent atoms, fractional coordinates:
Tb1 0.1258 0.3742 0.0000 [4 per cell]  6 Er 3.27-3.37, 1 Tb 3.33
Nd1 0.0000 0.0000 0.0000 [2 per cell]  4 Tb 3.69, 2 Nd 3.73, 8 Er 3.94
Er1 0.1711 0.6711 0.5000 [4 per cell]  6 Tb 3.27-3.37


Entry from Alexandria: an optimized crystal structure of SrMgPCl2 (GGA-PBE).

Computed properties:
The calculation puts the relative energy among the computed polymorphs at 0.00 eV/f.u. For the uncorrected formation energy, the calculation gives -1.190 eV/atom.

Lattice parameters (Å, degrees): 4.8844 4.8844 5.2704 90.00 90.00 90.00
With the nearest neighbours (Å) after each atom.
Space group P4/mmm (No. 123)
Inequivalent atoms, fractional coordinates:
Sr1 0.0000 0.0000 0.0000 [1 per cell]  4 P 3.45, 8 Cl 3.59
Mg1 0.5000 0.5000 0.5000 [1 per cell]  4 Cl 2.44, 2 P 2.64
P1 0.5000 0.5000 0.0000 [1 per cell]  2 Mg 2.64
Cl1 0.0000 0.5000 0.5000 [2 per cell]  2 Mg 2.44


Number 1: magnetic moment 0.0 μB/f.u., calculated volume 36.34 A^3/atom, total DFT energy (no corrections) -5.747 eV per atom. Number 2: magnetic moment 0.0 μB/f.u., calculated volume 32.62 A^3/atom, total DFT energy (no corrections) -4.549 eV per atom. Number 3: magnetic moment 1.0 μB/f.u., calculated volume 25.15 A^3/atom, total DFT energy (no corrections) -3.666 eV per atom.